Record 1
! Li2Pm2Ga5Pd (PBE, optimized geometry); values from VASP
! - Size of the total moment: 0.00 μB/f.u.
! - E_tot: -3.823 eV per atom
&SYSTEM
  ibrav = 0, nat = 20, ntyp = 4
/
ATOMIC_SPECIES
Li 6.94 Li.upf
Pm 145.00 Pm.upf
Ga 69.72 Ga.upf
Pd 106.42 Pd.upf
CELL_PARAMETERS angstrom
9.465 0.000 0.000
0.000 9.465 0.000
0.000 0.000 4.103
ATOMIC_POSITIONS crystal
Li 0.110 0.390 0.000
Li 0.390 0.890 0.000
Li 0.610 0.110 0.000
Li 0.890 0.610 0.000
Pm 0.186 0.686 0.000
Pm 0.314 0.186 0.000
Pm 0.686 0.814 0.000
Pm 0.814 0.314 0.000
Ga 0.000 0.500 0.500
Ga 0.051 0.195 0.500
Ga 0.195 0.949 0.500
Ga 0.305 0.449 0.500
Ga 0.449 0.695 0.500
Ga 0.500 0.000 0.500
Ga 0.551 0.305 0.500
Ga 0.695 0.551 0.500
Ga 0.805 0.051 0.500
Ga 0.949 0.805 0.500
Pd 0.000 0.000 0.000
Pd 0.500 0.500 0.000

Record 2
! LiPmGaPd2 (PBE, optimized geometry); values from VASP
! - Size of the total moment: 0.00 μB/f.u.
! - E_tot: -4.719 eV per atom
&SYSTEM
  ibrav = 0, nat = 5, ntyp = 4
/
ATOMIC_SPECIES
Li 6.94 Li.upf
Pm 145.00 Pm.upf
Ga 69.72 Ga.upf
Pd 106.42 Pd.upf
CELL_PARAMETERS angstrom
-1.968 1.968 6.107
1.968 -1.968 6.107
1.968 1.968 -6.107
ATOMIC_POSITIONS crystal
Li 0.000 0.000 0.000
Pm 0.250 0.750 0.500
Ga 0.500 0.500 0.000
Pd 0.638 0.138 0.500
Pd 0.862 0.362 0.500

Record 3
! LiPmGa2Pd5 (PBE, optimized geometry); values from VASP
! - Size of the total moment: 0.00 μB/f.u.
! - E_tot: -4.924 eV per atom
&SYSTEM
  ibrav = 0, nat = 9, ntyp = 4
/
ATOMIC_SPECIES
Li 6.94 Li.upf
Pm 145.00 Pm.upf
Ga 69.72 Ga.upf
Pd 106.42 Pd.upf
CELL_PARAMETERS angstrom
4.153 0.000 0.000
0.000 4.153 0.000
0.000 0.000 9.510
ATOMIC_POSITIONS crystal
Li 0.000 0.000 0.000
Pm 0.000 0.000 0.500
Ga 0.500 0.500 0.132
Ga 0.500 0.500 0.868
Pd 0.000 0.500 0.275
Pd 0.000 0.500 0.725
Pd 0.500 0.000 0.275
Pd 0.500 0.000 0.725
Pd 0.500 0.500 0.500

Record 4
! LiPmGaPd3 (PBE, optimized geometry); values from VASP
! - Size of the total moment: 0.00 μB/f.u.
! - E_tot: -4.784 eV per atom
&SYSTEM
  ibrav = 0, nat = 12, ntyp = 4
/
ATOMIC_SPECIES
Li 6.94 Li.upf
Pm 145.00 Pm.upf
Ga 69.72 Ga.upf
Pd 106.42 Pd.upf
CELL_PARAMETERS angstrom
2.866 -6.389 0.000
2.866 6.389 0.000
0.000 0.000 5.877
ATOMIC_POSITIONS crystal
Li 0.109 0.891 0.750
Li 0.891 0.109 0.250
Pm 0.326 0.674 0.750
Pm 0.674 0.326 0.250
Ga 0.376 0.624 0.250
Ga 0.624 0.376 0.750
Pd 0.176 0.824 0.250
Pd 0.247 0.247 0.000
Pd 0.247 0.247 0.500
Pd 0.753 0.753 0.000
Pd 0.753 0.753 0.500
Pd 0.824 0.176 0.750

Record 5
! LiPm2Ga6Pd (PBE, optimized geometry); values from VASP
! - Size of the total moment: 0.00 μB/f.u.
! - E_tot: -3.963 eV per atom
&SYSTEM
  ibrav = 0, nat = 10, ntyp = 4
/
ATOMIC_SPECIES
Li 6.94 Li.upf
Pm 145.00 Pm.upf
Ga 69.72 Ga.upf
Pd 106.42 Pd.upf
CELL_PARAMETERS angstrom
6.124 -2.657 0.000
6.124 2.657 0.000
-5.775 0.000 6.275
ATOMIC_POSITIONS crystal
Li 0.000 0.000 0.000
Pm 0.471 0.471 0.224
Pm 0.529 0.529 0.776
Ga 0.003 0.499 0.761
Ga 0.162 0.162 0.411
Ga 0.499 0.003 0.761
Ga 0.501 0.997 0.239
Ga 0.838 0.838 0.589
Ga 0.997 0.501 0.239
Pd 0.000 0.000 0.500

Record 6
! LiPr2Ga6Pd (PBE, optimized geometry); values from VASP
! - Size of the total moment: 0.00 μB/f.u.
! - E_tot: -3.819 eV per atom
&SYSTEM
  ibrav = 0, nat = 10, ntyp = 4
/
ATOMIC_SPECIES
Li 6.94 Li.upf
Pr 140.91 Pr.upf
Ga 69.72 Ga.upf
Pd 106.42 Pd.upf
CELL_PARAMETERS angstrom
4.692 -4.716 0.000
4.692 4.716 0.000
-4.685 0.000 4.719
ATOMIC_POSITIONS crystal
Li 0.000 0.000 0.000
Pr 0.251 0.749 0.500
Pr 0.749 0.251 0.500
Ga 0.239 0.239 0.000
Ga 0.239 0.239 0.478
Ga 0.239 0.761 0.000
Ga 0.761 0.239 0.000
Ga 0.761 0.761 0.000
Ga 0.761 0.761 0.522
Pd 0.500 0.500 0.000

Record 7
! LiPrGaPd3 (PBE, optimized geometry); values from VASP
! - Size of the total moment: 0.00 μB/f.u.
! - E_tot: -4.775 eV per atom
&SYSTEM
  ibrav = 0, nat = 12, ntyp = 4
/
ATOMIC_SPECIES
Li 6.94 Li.upf
Pr 140.91 Pr.upf
Ga 69.72 Ga.upf
Pd 106.42 Pd.upf
CELL_PARAMETERS angstrom
2.893 -6.366 0.000
2.893 6.366 0.000
0.000 0.000 5.925
ATOMIC_POSITIONS crystal
Li 0.102 0.898 0.750
Li 0.898 0.102 0.250
Pr 0.321 0.679 0.750
Pr 0.679 0.321 0.250
Ga 0.376 0.624 0.250
Ga 0.624 0.376 0.750
Pd 0.173 0.827 0.250
Pd 0.249 0.249 0.000
Pd 0.249 0.249 0.500
Pd 0.751 0.751 0.000
Pd 0.751 0.751 0.500
Pd 0.827 0.173 0.750

Record 8
! Li2Pr3GaPd9 (PBE, optimized geometry); values from VASP
! - Size of the total moment: 0.00 μB/f.u.
! - E_tot: -5.019 eV per atom
&SYSTEM
  ibrav = 0, nat = 15, ntyp = 4
/
ATOMIC_SPECIES
Li 6.94 Li.upf
Pr 140.91 Pr.upf
Ga 69.72 Ga.upf
Pd 106.42 Pd.upf
CELL_PARAMETERS angstrom
6.747 0.000 0.000
-3.374 5.843 0.000
0.000 0.000 7.191
ATOMIC_POSITIONS crystal
Li 0.333 0.667 0.138
Li 0.667 0.333 0.862
Pr 0.000 0.000 0.000
Pr 0.333 0.667 0.672
Pr 0.667 0.333 0.328
Ga 0.000 0.000 0.500
Pd 0.000 0.500 0.000
Pd 0.180 0.360 0.334
Pd 0.180 0.820 0.334
Pd 0.360 0.180 0.666
Pd 0.500 0.000 0.000
Pd 0.500 0.500 0.000
Pd 0.640 0.820 0.334
Pd 0.820 0.180 0.666
Pd 0.820 0.640 0.666

Record 9
! LiPrGaPd (PBE, optimized geometry); values from VASP
! - Size of the total moment: 0.00 μB/f.u.
! - ΔE to the lowest computed polymorph: 0.0486 eV/atom
! - E_tot: -4.243 eV per atom
&SYSTEM
  ibrav = 0, nat = 4, ntyp = 4
/
ATOMIC_SPECIES
Li 6.94 Li.upf
Pr 140.91 Pr.upf
Ga 69.72 Ga.upf
Pd 106.42 Pd.upf
CELL_PARAMETERS angstrom
0.000 3.390 3.390
3.390 0.000 3.390
3.390 3.390 0.000
ATOMIC_POSITIONS crystal
Li 0.000 0.000 0.000
Pr 0.750 0.750 0.750
Ga 0.250 0.250 0.250
Pd 0.500 0.500 0.500

Record 10
! LiPr2Ga2Pd5 (PBE, optimized geometry); values from VASP
! - Size of the total moment: 0.00 μB/f.u.
! - E_tot: -4.967 eV per atom
&SYSTEM
  ibrav = 0, nat = 20, ntyp = 4
/
ATOMIC_SPECIES
Li 6.94 Li.upf
Pr 140.91 Pr.upf
Ga 69.72 Ga.upf
Pd 106.42 Pd.upf
CELL_PARAMETERS angstrom
10.108 0.000 0.000
0.000 10.108 0.000
0.000 0.000 3.744
ATOMIC_POSITIONS crystal
Li 0.000 0.000 0.000
Li 0.500 0.500 0.000
Pr 0.178 0.322 0.000
Pr 0.322 0.822 0.000
Pr 0.678 0.178 0.000
Pr 0.822 0.678 0.000
Ga 0.121 0.621 0.000
Ga 0.379 0.121 0.000
Ga 0.621 0.879 0.000
Ga 0.879 0.379 0.000
Pd 0.000 0.500 0.500
Pd 0.062 0.791 0.500
Pd 0.209 0.062 0.500
Pd 0.291 0.562 0.500
Pd 0.438 0.291 0.500
Pd 0.500 0.000 0.500
Pd 0.562 0.709 0.500
Pd 0.709 0.438 0.500
Pd 0.791 0.938 0.500
Pd 0.938 0.209 0.500

Record 11
! LiPrGaPd (PBE, optimized geometry); values from VASP
! - Size of the total moment: 0.00 μB/f.u.
! - ΔE to the lowest computed polymorph: 0.0000 eV/atom
! - E_tot: -4.292 eV per atom
&SYSTEM
  ibrav = 0, nat = 4, ntyp = 4
/
ATOMIC_SPECIES
Li 6.94 Li.upf
Pr 140.91 Pr.upf
Ga 69.72 Ga.upf
Pd 106.42 Pd.upf
CELL_PARAMETERS angstrom
2.249 1.298 4.785
-2.249 1.298 4.785
0.000 -2.597 4.785
ATOMIC_POSITIONS crystal
Li 0.000 0.000 0.000
Pr 0.206 0.206 0.206
Ga 0.737 0.737 0.737
Pd 0.408 0.408 0.408

Record 12
! LiPrGa2Pd2 (PBE, optimized geometry); values from VASP
! - Size of the total moment: 0.00 μB/f.u.
! - E_tot: -4.570 eV per atom
&SYSTEM
  ibrav = 0, nat = 6, ntyp = 4
/
ATOMIC_SPECIES
Li 6.94 Li.upf
Pr 140.91 Pr.upf
Ga 69.72 Ga.upf
Pd 106.42 Pd.upf
CELL_PARAMETERS angstrom
4.424 0.000 0.000
-2.212 3.831 0.000
0.000 0.000 6.690
ATOMIC_POSITIONS crystal
Li 0.000 0.000 0.000
Pr 0.000 0.000 0.500
Ga 0.333 0.667 0.808
Ga 0.667 0.333 0.192
Pd 0.333 0.667 0.197
Pd 0.667 0.333 0.803

Repeat the seventh record exactly.
! LiPrGaPd3 (PBE, optimized geometry); values from VASP
! - Size of the total moment: 0.00 μB/f.u.
! - E_tot: -4.775 eV per atom
&SYSTEM
  ibrav = 0, nat = 12, ntyp = 4
/
ATOMIC_SPECIES
Li 6.94 Li.upf
Pr 140.91 Pr.upf
Ga 69.72 Ga.upf
Pd 106.42 Pd.upf
CELL_PARAMETERS angstrom
2.893 -6.366 0.000
2.893 6.366 0.000
0.000 0.000 5.925
ATOMIC_POSITIONS crystal
Li 0.102 0.898 0.750
Li 0.898 0.102 0.250
Pr 0.321 0.679 0.750
Pr 0.679 0.321 0.250
Ga 0.376 0.624 0.250
Ga 0.624 0.376 0.750
Pd 0.173 0.827 0.250
Pd 0.249 0.249 0.000
Pd 0.249 0.249 0.500
Pd 0.751 0.751 0.000
Pd 0.751 0.751 0.500
Pd 0.827 0.173 0.750

Q: Which value of size of the total moment does entry 7 give?
A: 0.00 μB/f.u.